Entry 1:
Entry from Alexandria: a geometry-optimized Nd2IrPt structure (PBE). Values from VASP.

Summary:
Space-group type: P2_1/m (11)
DFT formation energy (eV per formula unit): -3.55
Calculated volume (Å³/cell): 191.7

The structure in Quantum ESPRESSO input format:
```
&SYSTEM
  ibrav = 0, nat = 8, ntyp = 3
/
ATOMIC_SPECIES
Nd 144.24 Nd.upf
Pt 195.08 Pt.upf
Ir 192.22 Ir.upf
CELL_PARAMETERS angstrom
4.3155 0.0000 0.0000
0.0000 5.8951 0.0667
0.0000 -2.8532 7.5030
ATOMIC_POSITIONS crystal
Nd 0.2500 0.7793 0.0759
Pt 0.7500 0.6725 0.7935
Ir 0.2500 0.3297 0.7088
Nd 0.2500 0.7846 0.5657
Pt 0.2500 0.3275 0.2065
Ir 0.7500 0.6703 0.2912
Nd 0.7500 0.2207 0.9241
Nd 0.7500 0.2154 0.4343
```

---

Entry 2:
Entry from Alexandria: a geometry-optimized YCrSe3 structure (PBE). Values from VASP.

Summary:
Space-group type: Pm-3m (221)
ΔE to the lowest computed polymorph (meV/atom): 0
Calculated volume (Å³/cell): 115.3

The structure in Quantum ESPRESSO input format:
```
&SYSTEM
  ibrav = 0, nat = 5, ntyp = 3
/
ATOMIC_SPECIES
Cr 52.00 Cr.upf
Y 88.91 Y.upf
Se 78.96 Se.upf
CELL_PARAMETERS angstrom
-3.0539 3.0027 2.3117
-3.3854 -3.4959 0.0685
1.7027 -1.5650 4.2823
ATOMIC_POSITIONS crystal
Cr 0.0000 0.0000 0.0000
Y 0.5000 0.5000 0.5000
Se 0.0000 0.5000 0.0000
Se 0.0000 0.0000 0.5000
Se 0.5000 0.0000 0.0000
```

---

Entry 3:
Entry from Alexandria: a geometry-optimized Pm3Nd2Sm6Mg structure (PBE). Values from VASP.

Summary:
Space-group type: C2/m (12)
DFT formation energy (eV per formula unit): 0.21
Calculated volume (Å³/cell): 400.1

The structure in Quantum ESPRESSO input format:
```
&SYSTEM
  ibrav = 0, nat = 12, ntyp = 4
/
ATOMIC_SPECIES
Pm 145.00 Pm.upf
Sm 150.36 Sm.upf
Mg 24.30 Mg.upf
Nd 144.24 Nd.upf
CELL_PARAMETERS angstrom
6.2611 -0.0026 0.0013
-3.1313 5.4219 0.0013
-1.0513 -1.8204 11.7876
ATOMIC_POSITIONS crystal
Pm 0.8336 0.1664 0.5000
Pm 0.5000 0.5000 0.5000
Sm 0.5870 0.9178 0.7515
Sm 0.4130 0.0822 0.2485
Pm 0.1664 0.8336 0.5000
Sm 0.9178 0.5870 0.7515
Sm 0.2483 0.2483 0.7502
Sm 0.0822 0.4130 0.2485
Sm 0.7517 0.7517 0.2498
Mg 0.0000 0.0000 0.0000
Nd 0.3329 0.6671 0.0000
Nd 0.6671 0.3329 0.0000
```

---

Entry 4:
Entry from Alexandria: a geometry-optimized K15Cr7N19 structure (PBE). Values from VASP.

Summary:
Space-group type: P-1 (2)
Total energy (eV/cell): -514.26
Calculated volume (Å³/cell): 1483.3

The structure in Quantum ESPRESSO input format:
```
&SYSTEM
  ibrav = 0, nat = 82, ntyp = 3
/
ATOMIC_SPECIES
K 39.10 K.upf
Cr 52.00 Cr.upf
N 14.01 N.upf
CELL_PARAMETERS angstrom
6.7310 0.0001 -0.0012
-1.9076 11.8929 0.0013
-1.4464 -0.1798 18.5292
ATOMIC_POSITIONS crystal
K 0.1327 0.8188 0.1701
Cr 0.1110 0.5866 0.3168
K 0.4483 0.5680 0.7248
K 0.5517 0.4320 0.2752
N 0.1653 0.0277 0.2478
N 0.2408 0.2318 0.3340
N 0.4180 0.2501 0.0344
N 0.1303 0.4531 0.3544
K 0.7072 0.0215 0.1951
K 0.5000 0.5000 0.0000
N 0.8697 0.5469 0.6456
K 0.2329 0.7292 0.6095
N 0.0709 0.4311 0.7640
N 0.9291 0.5689 0.2360
K 0.2552 0.2586 0.7263
K 0.0451 0.3356 0.2168
K 0.5176 0.6205 0.4330
N 0.8895 0.8872 0.0563
K 0.7448 0.7414 0.2737
K 0.4824 0.3795 0.5670
K 0.9858 0.3406 0.0129
Cr 0.0314 0.2223 0.5546
N 0.4571 0.9089 0.6819
N 0.5074 0.6067 0.5776
N 0.4264 0.2189 0.1933
K 0.9549 0.6644 0.7832
Cr 0.7454 0.6590 0.6030
N 0.6462 0.4233 0.1348
Cr 0.9686 0.7777 0.4454
N 0.7686 0.2122 0.1174
N 0.2314 0.7878 0.8826
N 0.4949 0.1650 0.8940
N 0.7592 0.7682 0.6660
N 0.5820 0.7499 0.9656
Cr 0.2546 0.3410 0.3970
K 0.9538 0.0452 0.3884
N 0.0231 0.6722 0.3804
N 0.1247 0.2907 0.4727
K 0.5992 0.8869 0.5300
Cr 0.3183 0.2110 0.9413
Cr 0.3475 0.1371 0.2727
N 0.4926 0.3933 0.4224
N 0.7787 0.8354 0.4054
N 0.9769 0.3278 0.6196
K 0.6146 0.3922 0.8454
N 0.2213 0.1646 0.5946
K 0.0000 0.5000 0.5000
N 0.3538 0.5767 0.8652
K 0.4008 0.1131 0.4700
K 0.2866 0.9199 0.9977
N 0.5051 0.8350 0.1060
N 0.1105 0.1128 0.9437
N 0.5736 0.7811 0.8067
N 0.8753 0.7093 0.5273
K 0.1333 0.1052 0.1033
K 0.8673 0.1812 0.8299
N 0.8259 0.1247 0.5317
N 0.7569 0.6635 0.1051
Cr 0.8890 0.4134 0.6832
K 0.3854 0.6078 0.1546
Cr 0.6525 0.8629 0.7273
Cr 0.8505 0.5456 0.1431
N 0.6674 0.3516 0.7084
Cr 0.6817 0.7890 0.0587
K 0.2928 0.9785 0.8049
K 0.0142 0.6594 0.9871
Cr 0.5688 0.2758 0.1195
N 0.2431 0.3365 0.8949
K 0.7671 0.2708 0.3905
N 0.5429 0.0911 0.3181
K 0.7134 0.0801 0.0023
N 0.8347 0.9723 0.7522
K 0.0462 0.9548 0.6116
N 0.3326 0.6484 0.2916
N 0.9616 0.4830 0.9015
K 0.6388 0.1280 0.6558
N 0.1741 0.8753 0.4683
K 0.8667 0.8948 0.8967
N 0.0384 0.5170 0.0985
K 0.3612 0.8720 0.3442
Cr 0.4312 0.7242 0.8805
Cr 0.1495 0.4544 0.8569
```

---

Entry 5:
Entry from Alexandria: a geometry-optimized MnNbRh structure (PBE). Values from VASP.

Summary:
Space-group type: Ima2 (46)
DFT formation energy (eV per formula unit): -0.57
Calculated volume (Å³/cell): 174.5

The structure in Quantum ESPRESSO input format:
```
&SYSTEM
  ibrav = 0, nat = 12, ntyp = 3
/
ATOMIC_SPECIES
Rh 102.91 Rh.upf
Mn 54.94 Mn.upf
Nb 92.91 Nb.upf
CELL_PARAMETERS angstrom
4.7032 0.0000 0.0000
0.0000 6.0696 0.0000
0.0000 0.0000 6.1140
ATOMIC_POSITIONS crystal
Rh 0.2500 0.3516 0.1099
Mn 0.5000 0.0000 0.9634
Rh 0.2500 0.1484 0.6099
Nb 0.7500 0.3362 0.7990
Mn 0.5000 0.5000 0.4634
Nb 0.2500 0.8362 0.2990
Nb 0.2500 0.6639 0.7990
Mn 0.0000 0.5000 0.4634
Nb 0.7500 0.1638 0.2990
Rh 0.7500 0.8516 0.6099
Rh 0.7500 0.6484 0.1099
Mn 0.0000 0.0000 0.9634
```

---

Entry 6:
Entry from Alexandria: a geometry-optimized SrMg2Cr structure (PBE). Values from VASP.

Summary:
Space-group type: Pm (6)
DFT formation energy (eV per formula unit): 1.41
Calculated volume (Å³/cell): 109.6

The structure in Quantum ESPRESSO input format:
```
&SYSTEM
  ibrav = 0, nat = 4, ntyp = 3
/
ATOMIC_SPECIES
Cr 52.00 Cr.upf
Mg 24.30 Mg.upf
Sr 87.62 Sr.upf
CELL_PARAMETERS angstrom
-1.1944 3.4640 1.3450
-3.0983 -0.3846 -1.7610
-6.2359 -3.8965 4.4974
ATOMIC_POSITIONS crystal
Cr 0.5000 0.6919 0.8078
Mg 0.5000 0.3035 0.1971
Mg 0.0000 0.0237 0.9768
Sr 0.0000 0.4809 0.5183
```

---

Number 1: total moment 0.00 μB per formula unit. Number 2: total moment 3.10 μB per formula unit. Number 3: total moment 0.00 μB per formula unit. Number 4: total moment 0.00 μB per formula unit. Number 5: total moment 0.00 μB per formula unit. Number 6: total moment 4.45 μB per formula unit.